First-principles (PBE) data for a relaxed structure of CsMn3Ag, as listed in Alexandria.

Computed properties:
Uncorrected energy ... -3.919 eV per atom
Energy of formation ... 2324 meV per atom

a b c (Å): 5.074 5.074 5.074
angles (deg): 90.00 90.00 90.00
Positions (direct):
Cs: 0.000 0.000 0.000
Mn: 0.000 0.000 0.500
Mn: 0.000 0.500 0.000
Mn: 0.500 0.000 0.000
Ag: 0.500 0.500 0.500